{"formula": "CePa2TcN4", "functional": "PBE-GGA", "state": "optimized geometry", "e_form_raw_ev_per_atom": -1.272, "e_tot_ev_per_atom": -9.85, "magmom_total_mub_per_atom": 0.03, "lattice_angstrom": [[3.384, 0.000, 0.000], [-1.692, 5.935, 0.000], [0.000, 0.000, 11.720]], "species": ["N", "N", "N", "N", "N", "N", "N", "N", "Pa", "Pa", "Pa", "Pa", "Tc", "Tc", "Ce", "Ce"], "frac_coords": [[0.544, 0.088, 0.250], [0.275, 0.551, 0.383], [0.725, 0.449, 0.883], [0.275, 0.551, 0.117], [0.456, 0.912, 0.750], [0.725, 0.449, 0.617], [0.000, 0.000, 0.000], [0.000, 0.000, 0.500], [0.368, 0.737, 0.945], [0.632, 0.263, 0.445], [0.368, 0.737, 0.555], [0.632, 0.263, 0.055], [0.155, 0.309, 0.250], [0.845, 0.691, 0.750], [0.895, 0.791, 0.250], [0.105, 0.209, 0.750]]}